[1]
HoCdAsO: relaxed, PBE.

final energy	-5.24	eV per atom
size of the total moment	0.00	μB/cell

a = 4.0273 Å, b = 6.3131 Å, c = 6.6902 Å
α = 90.00°, β = 90.00°, γ = 90.00°
With the nearest neighbours (Å) after each atom.
Space group Pmc2_1 (No. 26)
Symmetry-distinct sites (fractional):
Ho 0.0000 0.0296 0.0000  2 O 2.18-2.22
Cd 0.5000 0.3941 0.3598  2 O 2.36, 1 As 2.61
As 0.5000 0.2145 0.7351  2 Cd 2.61-2.75
O 0.0000 0.2238 0.2691  2 Ho 2.18-2.22, 2 Cd 2.36

***

[2]
Ho2CdAsP: relaxed, PBE.

final energy	-4.89	eV per atom
size of the total moment	0.02	μB/cell

a = 3.9776 Å, b = 17.8283 Å, c = 6.4023 Å
α = 90.00°, β = 90.00°, γ = 90.00°
With the nearest neighbours (Å) after each atom.
Space group Cmc2_1 (No. 36)
Symmetry-distinct sites (fractional):
Ho 0.0000 0.0235 0.0000  4 As 2.90-3.07, 1 P 3.06, 2 Cd 3.19
Ho 0.0000 0.2016 0.6858  3 P 2.81-2.85, 2 As 2.91
Cd 0.0000 0.3873 0.8001  2 P 2.64, 1 As 2.70
As 0.0000 0.4170 0.2141  1 Cd 2.70, 4 Ho 2.90-2.91
P 0.0000 0.1888 0.1302  2 Cd 2.64, 3 Ho 2.81-2.85

***

[3]
SrHoCdAs2: relaxed, PBE.

final energy	-4.19	eV per atom
size of the total moment	0.03	μB/cell

a = 4.2831 Å, b = 17.6282 Å, c = 6.9553 Å
α = 90.00°, β = 90.00°, γ = 90.00°
With the nearest neighbours (Å) after each atom.
Space group Cmc2_1 (No. 36)
Symmetry-distinct sites (fractional):
Sr 0.0000 0.1949 0.0000  5 As 3.12-3.33
Ho 0.0000 0.0271 0.6785  5 As 2.85-2.97
Cd 0.0000 0.3905 0.8540  4 As 2.72-2.94
As 0.0000 0.1768 0.5232  2 Cd 2.72, 1 Ho 2.85
As 0.0000 0.4493 0.4690  2 Cd 2.87-2.94, 4 Ho 2.93-2.97

***

[4]
Cd2AsI: relaxed, PBE.

final energy	-2.31	eV per atom

a = 8.0467 Å, b = 9.1386 Å, c = 7.5763 Å
α = 90.00°, β = 90.00°, γ = 90.00°
With the nearest neighbours (Å) after each atom.
Space group Pna2_1 (No. 33)
Symmetry-distinct sites (fractional):
Cd 0.0467 0.0842 0.0000  2 As 2.58
Cd 0.0900 0.6597 0.0845  2 As 2.58-2.59
As 0.1009 0.1241 0.6680  4 Cd 2.58-2.59
I 0.0933 0.6266 0.6696  4 Cd 3.07-3.19